Entry 1:
This record from the Alexandria database describes ZnCoCl after structural relaxation. The functional is PBEsol.

Values from the calculation:
The calculation puts the formation energy from raw total energies at 81 kJ/mol of atoms. The calculation puts the total energy at -2.939 eV/atom. The value obtained for the total magnetization is 6.71 μB/cell. Its volume is 213.4 Å³/cell.

abc: 5.976 5.976 5.976
angles: 90.00 90.00 90.00
Space group F-43m (No. 216)
Symmetry-distinct sites (fractional):
Zn (0.000, 0.000, 0.000) [4 per cell]
Co (0.250, 0.250, 0.250) [4 per cell]
Cl (0.250, 0.250, 0.750) [4 per cell]

=====

Entry 2:
This record from the Alexandria database describes GaGe2BiIr after structural relaxation. The functional is PBEsol.

Values from the calculation:
The calculation puts the total energy at -4.030 eV/atom. For the formation energy, the calculation gives 1.4356 eV/atom. The value obtained for the total magnetization is 0.00 μB/cell. Its volume is 144.9 Å³/cell.

abc: 5.395 5.395 4.979
angles: 90.00 90.00 90.00
Space group P4/mmm (No. 123)
Symmetry-distinct sites (fractional):
Ga (0.000, 0.000, 0.000) [1 per cell]
Ge (0.000, 0.500, 0.500) [2 per cell]
Bi (0.500, 0.500, 0.500) [1 per cell]
Ir (0.500, 0.500, 0.000) [1 per cell]

=====

Entry 3:
This record from the Alexandria database describes SiAsOs2 after structural relaxation. The functional is PBEsol.

Values from the calculation:
As for the offset from the most stable computed form: 441 meV per atom. The calculation puts the formation energy from raw total energies at 47 kJ/mol of atoms. The calculation puts the total energy at -8.335 eV/atom. The value obtained for the total magnetization is 0.00 μB/cell. Its volume is 123.5 Å³/cell.

abc: 2.772 4.736 9.404
angles: 90.00 90.00 90.00
Space group Cmm2 (No. 35)
Symmetry-distinct sites (fractional):
Si (0.000, 0.000, 0.000) [2 per cell]
As (0.000, 0.500, 0.689) [2 per cell]
Os (0.000, 0.000, 0.461) [2 per cell]
Os (0.000, 0.500, 0.217) [2 per cell]

=====

Q: volume of number 1 (ZnCoCl)?
A: 213.4 Å³/cell

=====

Copy entry 2 word for word.
This record from the Alexandria database describes GaGe2BiIr after structural relaxation. The functional is PBEsol.

Values from the calculation:
The calculation puts the total energy at -4.030 eV/atom. For the formation energy, the calculation gives 1.4356 eV/atom. The value obtained for the total magnetization is 0.00 μB/cell. Its volume is 144.9 Å³/cell.

abc: 5.395 5.395 4.979
angles: 90.00 90.00 90.00
Space group P4/mmm (No. 123)
Symmetry-distinct sites (fractional):
Ga (0.000, 0.000, 0.000) [1 per cell]
Ge (0.000, 0.500, 0.500) [2 per cell]
Bi (0.500, 0.500, 0.500) [1 per cell]
Ir (0.500, 0.500, 0.000) [1 per cell]

=====

Q: Which value of volume does entry 1 give?
A: 213.4 Å³/cell

=====

Q: What is the volume in the third record?
A: 123.5 Å³/cell